Model i:
PBE Sc2BeIn2, relaxed; space group = P4/mbm; V = 22.39 A^3/atom
1.0
-5.668 3.415 2.129
-3.206 -1.610 -5.955
-1.621 -3.891 1.925
Sc Be In
4 2 4
Direct
0.345 0.845 0.000
0.845 0.655 0.000
0.655 0.155 0.000
0.155 0.345 0.000
0.000 0.000 0.000
0.500 0.500 0.000
0.157 0.657 0.500
0.657 0.843 0.500
0.843 0.343 0.500
0.343 0.157 0.500

***

Model ii:
PBE Sc2BeIn2, relaxed; space group = P4/mbm; V = 21.00 A^3/atom
1.0
6.746 0.000 0.000
0.000 6.746 0.000
0.000 0.000 4.615
Sc Be In
4 2 4
Direct
0.165 0.665 0.500
0.665 0.835 0.500
0.835 0.335 0.500
0.335 0.165 0.500
0.000 0.000 0.000
0.500 0.500 0.000
0.351 0.851 0.000
0.851 0.649 0.000
0.649 0.149 0.000
0.149 0.351 0.000

***

Energy relative to the most stable one, in meV/atom: model i 220; model ii 0

***

Model i:
PBE BeIn3Se, relaxed; space group = Pm-3m; V = 23.93 A^3/atom
1.0
-1.518 -1.759 4.346
-3.781 -2.241 -2.228
2.772 -4.021 -0.659
Be Se In
1 1 3
Direct
0.000 0.000 0.000
0.500 0.500 0.500
0.000 0.500 0.000
0.000 0.000 0.500
0.500 0.000 0.000

***

Model ii:
PBE BeIn3Se, relaxed; space group = Pm-3m; V = 35.78 A^3/atom
1.0
5.635 0.000 0.000
0.000 5.635 0.000
0.000 0.000 5.635
Be Se In
1 1 3
Direct
0.500 0.500 0.500
0.000 0.000 0.000
0.000 0.500 0.000
0.000 0.000 0.500
0.500 0.000 0.000

***

Energy relative to the most stable one, in meV/atom: model i 0; model ii 761